Entry 1:
Computed, not measured: an optimized crystal structure of NaIn4Rh at the PBE level of DFT.

Values from the calculation:
Relative energy among the computed polymorphs   90 meV/atom
Space-group type   Fmmm (69)
E_form   -14 kJ per mole of atoms
Uncorrected energy   -3.420 eV/atom
Density of states at the Fermi level   0.4349 states/eV/atom

Unit cell a=7.807 b=7.803 c=6.729 alpha=64.50 beta=64.43 gamma=51.07
Sites, in units of the cell vectors:
Na 0.000 0.000 0.500
Na 0.500 0.500 0.000
In 0.023 0.692 0.308
In 0.191 0.524 0.809
In 0.308 0.977 0.023
In 0.476 0.809 0.524
In 0.524 0.191 0.476
In 0.692 0.023 0.977
In 0.809 0.476 0.191
In 0.977 0.308 0.692
Rh 0.250 0.250 0.250
Rh 0.750 0.750 0.750

Entry 2:
Computed, not measured: an optimized crystal structure of NaIn2Rh2 at the PBE level of DFT.

Values from the calculation:
Relative energy among the computed polymorphs   235 meV/atom
Space-group type   I4/mmm (139)
E_form   -8 kJ per mole of atoms
Uncorrected energy   -4.380 eV/atom
Density of states at the Fermi level   0.6361 states/eV/atom

Unit cell a=4.484 b=4.484 c=10.929 alpha=90.00 beta=90.00 gamma=90.00
Sites, in units of the cell vectors:
Na 0.000 0.000 0.000
Na 0.500 0.500 0.500
In 0.000 0.500 0.250
In 0.000 0.500 0.750
In 0.500 0.000 0.250
In 0.500 0.000 0.750
Rh 0.000 0.000 0.386
Rh 0.000 0.000 0.614
Rh 0.500 0.500 0.114
Rh 0.500 0.500 0.886

Entry 3:
Computed, not measured: an optimized crystal structure of Na2InRhS4 at the PBE level of DFT.

Values from the calculation:
Space-group type   P2/m (10)
Uncorrected energy   -4.441 eV/atom
ΔE_f (raw)   -786 meV/atom

Unit cell a=6.499 b=3.745 c=6.843 alpha=90.00 beta=108.15 gamma=90.00
Sites, in units of the cell vectors:
Na 0.000 0.000 0.000
Na 0.500 0.500 0.000
In 0.000 0.500 0.500
Rh 0.500 0.000 0.500
S 0.260 0.000 0.713
S 0.291 0.500 0.307
S 0.709 0.500 0.693
S 0.740 0.000 0.287

Entry 4:
Computed, not measured: an optimized crystal structure of NaInSn2Rh at the PBE level of DFT.

Values from the calculation:
Space-group type   P4/mmm (123)
E_form   -8 kJ per mole of atoms
Uncorrected energy   -3.971 eV/atom
Density of states at the Fermi level   0.7848 states/eV/atom

Unit cell a=5.200 b=5.200 c=5.167 alpha=90.00 beta=90.00 gamma=90.00
Sites, in units of the cell vectors:
Na 0.000 0.000 0.000
In 0.500 0.500 0.000
Sn 0.000 0.500 0.500
Sn 0.500 0.000 0.500
Rh 0.500 0.500 0.500

Entry 5:
Computed, not measured: an optimized crystal structure of NaIn2TeRh at the PBE level of DFT.

Values from the calculation:
Space-group type   P4/mmm (123)
Uncorrected energy   -3.054 eV/atom
Density of states at the Fermi level   0.7293 states/eV/atom
ΔE_f (raw)   404 meV/atom

Unit cell a=5.951 b=5.951 c=4.923 alpha=90.00 beta=90.00 gamma=90.00
Sites, in units of the cell vectors:
Na 0.000 0.000 0.000
In 0.000 0.500 0.500
In 0.500 0.000 0.500
Te 0.500 0.500 0.500
Rh 0.500 0.500 0.000

Entry 6:
Computed, not measured: an optimized crystal structure of NaTl2InRh at the PBE level of DFT.

Values from the calculation:
Space-group type   P4/mmm (123)
E_form   -6 kJ per mole of atoms
Uncorrected energy   -3.290 eV/atom
Density of states at the Fermi level   0.5401 states/eV/atom

Unit cell a=5.298 b=5.298 c=5.193 alpha=90.00 beta=90.00 gamma=90.00
Sites, in units of the cell vectors:
Na 0.000 0.000 0.000
Tl 0.000 0.500 0.500
Tl 0.500 0.000 0.500
In 0.500 0.500 0.000
Rh 0.500 0.500 0.500

Entry 7:
Computed, not measured: an optimized crystal structure of NaTlIn2Rh at the PBE level of DFT.

Values from the calculation:
Space-group type   P4/mmm (123)
E_form   -12 kJ per mole of atoms
Uncorrected energy   -3.425 eV/atom
Density of states at the Fermi level   0.5192 states/eV/atom

Unit cell a=5.183 b=5.183 c=5.289 alpha=90.00 beta=90.00 gamma=90.00
Sites, in units of the cell vectors:
Na 0.000 0.000 0.000
Tl 0.500 0.500 0.000
In 0.000 0.500 0.500
In 0.500 0.000 0.500
Rh 0.500 0.500 0.500

Entry 8:
Computed, not measured: an optimized crystal structure of NaInRh2W at the PBE level of DFT.

Values from the calculation:
Space-group type   P4/mmm (123)
E_form   180 kJ per mole of atoms
Uncorrected energy   -4.473 eV/atom
Density of states at the Fermi level   1.1614 states/eV/atom

Unit cell a=4.513 b=4.513 c=4.704 alpha=90.00 beta=90.00 gamma=90.00
Sites, in units of the cell vectors:
Na 0.000 0.000 0.000
In 0.500 0.500 0.500
Rh 0.000 0.500 0.000
Rh 0.500 0.000 0.000
W 0.000 0.000 0.500

Entry 9:
Computed, not measured: an optimized crystal structure of NaZn2InRh at the PBE level of DFT.

Values from the calculation:
Space-group type   P4/mmm (123)
E_form   -11 kJ per mole of atoms
Uncorrected energy   -2.908 eV/atom
Density of states at the Fermi level   0.3285 states/eV/atom

Unit cell a=4.890 b=4.890 c=5.073 alpha=90.00 beta=90.00 gamma=90.00
Sites, in units of the cell vectors:
Na 0.000 0.000 0.000
Zn 0.000 0.500 0.500
Zn 0.500 0.000 0.500
In 0.500 0.500 0.000
Rh 0.500 0.500 0.500

Entry 10:
Computed, not measured: an optimized crystal structure of NaInRu2 at the PBE level of DFT.

Values from the calculation:
Space-group type   I-42d (122)
E_form   89 kJ per mole of atoms
Uncorrected energy   -4.727 eV/atom
Density of states at the Fermi level   1.1965 states/eV/atom

Unit cell a=7.605 b=7.605 c=5.189 alpha=90.00 beta=90.00 gamma=90.00
Sites, in units of the cell vectors:
Na 0.000 0.000 0.000
Na 0.000 0.500 0.250
Na 0.500 0.000 0.750
Na 0.500 0.500 0.500
In 0.000 0.000 0.500
In 0.000 0.500 0.750
In 0.500 0.000 0.250
In 0.500 0.500 0.000
Ru 0.230 0.250 0.625
Ru 0.250 0.730 0.875
Ru 0.250 0.770 0.375
Ru 0.270 0.250 0.125
Ru 0.730 0.750 0.125
Ru 0.750 0.230 0.375
Ru 0.750 0.270 0.875
Ru 0.770 0.750 0.625

Entry 11:
Computed, not measured: an optimized crystal structure of NaIn3Ru at the PBE level of DFT.

Values from the calculation:
Relative energy among the computed polymorphs   1356 meV/atom
Space-group type   Pm-3m (221)
E_form   127 kJ per mole of atoms
Uncorrected energy   -2.449 eV/atom
Density of states at the Fermi level   1.1443 states/eV/atom

Unit cell a=5.251 b=5.251 c=5.251 alpha=90.00 beta=90.00 gamma=90.00
Sites, in units of the cell vectors:
Na 0.000 0.000 0.000
In 0.000 0.000 0.500
In 0.000 0.500 0.000
In 0.500 0.000 0.000
Ru 0.500 0.500 0.500

Entry 12:
Computed, not measured: an optimized crystal structure of NaIn3Ru at the PBE level of DFT.

Values from the calculation:
Relative energy among the computed polymorphs   0 meV/atom
Space-group type   Pm-3m (221)
E_form   -4 kJ per mole of atoms
Uncorrected energy   -3.805 eV/atom
Density of states at the Fermi level   0.3005 states/eV/atom

Unit cell a=5.188 b=5.188 c=5.188 alpha=90.00 beta=90.00 gamma=90.00
Sites, in units of the cell vectors:
Na 0.000 0.000 0.000
In 0.000 0.500 0.500
In 0.500 0.000 0.500
In 0.500 0.500 0.000
Ru 0.500 0.500 0.500

Entry 13:
Computed, not measured: an optimized crystal structure of NaScInRu2 at the PBE level of DFT.

Values from the calculation:
Space-group type   P4/mmm (123)
E_form   95 kJ per mole of atoms
Uncorrected energy   -4.801 eV/atom
Density of states at the Fermi level   1.1173 states/eV/atom

Unit cell a=4.722 b=4.722 c=5.499 alpha=90.00 beta=90.00 gamma=90.00
Sites, in units of the cell vectors:
Na 0.000 0.000 0.000
Sc 0.500 0.500 0.500
In 0.500 0.500 0.000
Ru 0.000 0.500 0.500
Ru 0.500 0.000 0.500

Entry 14:
Computed, not measured: an optimized crystal structure of NaTl2InRu at the PBE level of DFT.

Values from the calculation:
Space-group type   P4/mmm (123)
E_form   9 kJ per mole of atoms
Uncorrected energy   -3.516 eV/atom
Density of states at the Fermi level   0.6004 states/eV/atom

Unit cell a=5.312 b=5.312 c=5.201 alpha=90.00 beta=90.00 gamma=90.00
Sites, in units of the cell vectors:
Na 0.000 0.000 0.000
Tl 0.000 0.500 0.500
Tl 0.500 0.000 0.500
In 0.500 0.500 0.000
Ru 0.500 0.500 0.500

Entry 15:
Computed, not measured: an optimized crystal structure of NaZnIn2Ru at the PBE level of DFT.

Values from the calculation:
Space-group type   P4/mmm (123)
E_form   2 kJ per mole of atoms
Uncorrected energy   -3.451 eV/atom
Density of states at the Fermi level   0.3251 states/eV/atom

Unit cell a=5.145 b=5.145 c=4.940 alpha=90.00 beta=90.00 gamma=90.00
Sites, in units of the cell vectors:
Na 0.000 0.000 0.000
Zn 0.500 0.500 0.000
In 0.000 0.500 0.500
In 0.500 0.000 0.500
Ru 0.500 0.500 0.500

Entry 16:
Computed, not measured: an optimized crystal structure of Na2InS2 at the PBE level of DFT.

Values from the calculation:
Relative energy among the computed polymorphs   0 meV/atom
Space-group type   Cmc2_1 (36)
Uncorrected energy   -3.495 eV/atom
Density of states at the Fermi level   0.1293 states/eV/atom
ΔE_f (raw)   -769 meV/atom

Unit cell a=8.072 b=8.072 c=6.638 alpha=90.00 beta=90.00 gamma=144.56
Sites, in units of the cell vectors:
Na 0.023 0.977 0.500
Na 0.201 0.799 0.805
Na 0.799 0.201 0.305
Na 0.977 0.023 0.000
In 0.399 0.601 0.657
In 0.601 0.399 0.157
S 0.154 0.846 0.214
S 0.434 0.566 0.261
S 0.566 0.434 0.761
S 0.846 0.154 0.714

Entry 17:
Computed, not measured: an optimized crystal structure of Na2InS at the PBE level of DFT.

Values from the calculation:
Relative energy among the computed polymorphs   45 meV/atom
Space-group type   I-42d (122)
Uncorrected energy   -2.657 eV/atom
Density of states at the Fermi level   0.1542 states/eV/atom
ΔE_f (raw)   -281 meV/atom

Unit cell a=4.780 b=4.780 c=19.034 alpha=90.00 beta=90.00 gamma=90.00
Sites, in units of the cell vectors:
Na 0.190 0.250 0.125
Na 0.250 0.690 0.375
Na 0.250 0.810 0.875
Na 0.310 0.250 0.625
Na 0.690 0.750 0.625
Na 0.750 0.190 0.875
Na 0.750 0.310 0.375
Na 0.810 0.750 0.125
In 0.000 0.000 0.500
In 0.000 0.500 0.750
In 0.500 0.000 0.250
In 0.500 0.500 0.000
S 0.000 0.000 0.000
S 0.000 0.500 0.250
S 0.500 0.000 0.750
S 0.500 0.500 0.500

Entry 18:
Computed, not measured: an optimized crystal structure of Na2InS2 at the PBE level of DFT.

Values from the calculation:
Relative energy among the computed polymorphs   93 meV/atom
Space-group type   P4/mbm (127)
Uncorrected energy   -3.402 eV/atom
Density of states at the Fermi level   0.4937 states/eV/atom
ΔE_f (raw)   -676 meV/atom

Unit cell a=7.501 b=7.501 c=3.937 alpha=90.00 beta=90.00 gamma=90.00
Sites, in units of the cell vectors:
Na 0.133 0.367 0.000
Na 0.367 0.867 0.000
Na 0.633 0.133 0.000
Na 0.867 0.633 0.000
In 0.000 0.000 0.500
In 0.500 0.500 0.500
S 0.181 0.681 0.500
S 0.319 0.181 0.500
S 0.681 0.819 0.500
S 0.819 0.319 0.500

Entry 19:
Computed, not measured: an optimized crystal structure of Na2In2S3 at the PBE level of DFT.

Values from the calculation:
Space-group type   P2_1/c (14)
Uncorrected energy   -3.583 eV/atom
Density of states at the Fermi level   0.0215 states/eV/atom
ΔE_f (raw)   -655 meV/atom

Unit cell a=8.456 b=6.991 c=7.078 alpha=90.00 beta=114.31 gamma=90.00
Sites, in units of the cell vectors:
Na 0.113 0.167 0.229
Na 0.113 0.333 0.729
Na 0.887 0.667 0.271
Na 0.887 0.833 0.771
In 0.337 0.587 0.233
In 0.337 0.913 0.733
In 0.663 0.087 0.267
In 0.663 0.413 0.767
S 0.000 0.000 0.500
S 0.000 0.500 0.000
S 0.340 0.551 0.621
S 0.340 0.949 0.121
S 0.660 0.051 0.879
S 0.660 0.449 0.379

Entry 20:
Computed, not measured: an optimized crystal structure of NaIn2S3 at the PBE level of DFT.

Values from the calculation:
Space-group type   Pmc2_1 (26)
Uncorrected energy   -3.814 eV/atom
Density of states at the Fermi level   0.1192 states/eV/atom
ΔE_f (raw)   -617 meV/atom

Unit cell a=3.725 b=11.214 c=6.922 alpha=90.00 beta=90.00 gamma=90.00
Sites, in units of the cell vectors:
Na 0.000 0.094 0.000
Na 0.000 0.906 0.500
In 0.000 0.230 0.493
In 0.000 0.770 0.993
In 0.500 0.439 0.980
In 0.500 0.561 0.480
S 0.000 0.430 0.677
S 0.000 0.570 0.177
S 0.500 0.106 0.658
S 0.500 0.256 0.222
S 0.500 0.744 0.722
S 0.500 0.894 0.158